No. 1
# CdReIO2 | Alexandria via LeMat-Bulk | GGA-PBE | optimized geometry
data_CdReIO2
_space_group_name_H-M_alt 'P 4/m m m'
_space_group_IT_number 123
_space_group_name_Hall '-P 4 2'
_cell_length_a 4.139
_cell_length_b 4.139
_cell_length_c 6.404
_cell_angle_alpha 90.00
_cell_angle_beta 90.00
_cell_angle_gamma 90.00
loop_
_atom_site_label
_atom_site_fract_x
_atom_site_fract_y
_atom_site_fract_z
_atom_site_occupancy
Cd1 0.000 0.000 0.000 1
Re1 0.500 0.500 0.500 1
I1 0.000 0.000 0.500 1
O1 0.000 0.500 0.000 1
# - Total magnetization: 5.030 μB/cell
# - Crystal system: tetragonal
# - Formation energy without anion corrections: 1.07 eV/atom
# - Distance to the lowest polymorph of the same formula: 1505 meV/atom
# - Calculated total energy: -3.8992 eV/atom

No. 2
# Zr2BiAs2 | Alexandria via LeMat-Bulk | GGA-PBE | optimized geometry
data_Zr2BiAs2
_space_group_name_H-M_alt 'I 4/m m m'
_space_group_IT_number 139
_space_group_name_Hall '-I 4 2'
_cell_length_a 3.925
_cell_length_b 3.925
_cell_length_c 14.414
_cell_angle_alpha 90.00
_cell_angle_beta 90.00
_cell_angle_gamma 90.00
loop_
_atom_site_label
_atom_site_fract_x
_atom_site_fract_y
_atom_site_fract_z
_atom_site_occupancy
Zr1 0.000 0.000 0.112 1
Bi1 0.000 0.000 0.500 1
As1 0.000 0.500 0.250 1
# - Total magnetization: 0.000 μB/cell
# - Crystal system: tetragonal
# - Formation enthalpy at 0 K: -0.552 eV per atom
# - Distance to the lowest polymorph of the same formula: 132 meV/atom
# - Calculated total energy: -6.6072 eV/atom

No. 3
# Li3AlCd5 | Alexandria via LeMat-Bulk | GGA-PBE | optimized geometry
data_Li3AlCd5
_space_group_name_H-M_alt 'P 63/m c m'
_space_group_IT_number 193
_space_group_name_Hall '-P 6c 2'
_cell_length_a 8.2823
_cell_length_b 8.2823
_cell_length_c 5.7459
_cell_angle_alpha 90.00
_cell_angle_beta 90.00
_cell_angle_gamma 120.00
loop_
_atom_site_label
_atom_site_fract_x
_atom_site_fract_y
_atom_site_fract_z
_atom_site_occupancy
Li1 0.0000 0.3459 0.2500 1
Al1 0.0000 0.0000 0.0000 1
Cd1 0.0000 0.3151 0.7500 1
Cd2 0.3333 0.6667 0.0000 1
# - Total magnetization: 0.000 μB/cell
# - Crystal system: hexagonal
# - Formation enthalpy at 0 K: -0.168 eV per atom
# - Calculated total energy: -1.7304 eV/atom

No. 4
# Cs3Th3Te8Pd | Alexandria via LeMat-Bulk | GGA-PBE | optimized geometry
data_Cs3Th3Te8Pd
_space_group_name_H-M_alt 'C 1 2/m 1'
_space_group_IT_number 12
_space_group_name_Hall '-C 2y'
_cell_length_a 15.439
_cell_length_b 9.264
_cell_length_c 10.342
_cell_angle_alpha 90.00
_cell_angle_beta 118.58
_cell_angle_gamma 90.00
loop_
_atom_site_label
_atom_site_fract_x
_atom_site_fract_y
_atom_site_fract_z
_atom_site_occupancy
Cs1 0.000 0.000 0.000 1
Cs2 0.250 0.250 0.000 1
Th1 0.000 0.500 0.500 1
Th2 0.250 0.250 0.500 1
Te1 0.023 0.257 0.310 1
Te2 0.204 0.000 0.668 1
Te3 0.233 0.500 0.700 1
Pd1 0.000 0.000 0.500 1
# - Total magnetization: 0.000 μB/cell
# - Crystal system: monoclinic
# - Formation energy without anion corrections: -1.03 eV/atom
# - Calculated total energy: -4.7095 eV/atom

No. 5
# SrCa2Tc | Alexandria via LeMat-Bulk | GGA-PBE | optimized geometry
data_SrCa2Tc
_space_group_name_H-M_alt 'P 4/m m m'
_space_group_IT_number 123
_space_group_name_Hall '-P 4 2'
_cell_length_a 3.603
_cell_length_b 3.603
_cell_length_c 10.097
_cell_angle_alpha 90.00
_cell_angle_beta 90.00
_cell_angle_gamma 90.00
loop_
_atom_site_label
_atom_site_fract_x
_atom_site_fract_y
_atom_site_fract_z
_atom_site_occupancy
Sr1 0.000 0.000 0.000 1
Ca1 0.500 0.500 0.327 1
Tc1 0.000 0.000 0.500 1
# - Total magnetization: 1.746 μB/cell
# - Crystal system: tetragonal
# - Formation enthalpy at 0 K: 0.487 eV per atom
# - Distance to the lowest polymorph of the same formula: 0 meV/atom
# - Calculated total energy: -3.5254 eV/atom

No. 6
# Rb2NaNbRu | Alexandria via LeMat-Bulk | GGA-PBE | optimized geometry
data_Rb2NaNbRu
_space_group_name_H-M_alt 'P 4/m m m'
_space_group_IT_number 123
_space_group_name_Hall '-P 4 2'
_cell_length_a 5.739
_cell_length_b 5.739
_cell_length_c 5.773
_cell_angle_alpha 90.00
_cell_angle_beta 90.00
_cell_angle_gamma 90.00
loop_
_atom_site_label
_atom_site_fract_x
_atom_site_fract_y
_atom_site_fract_z
_atom_site_occupancy
Rb1 0.000 0.500 0.000 1
Na1 0.000 0.000 0.500 1
Nb1 0.500 0.500 0.500 1
Ru1 0.000 0.000 0.000 1
# - Total magnetization: 3.956 μB/cell
# - Crystal system: tetragonal
# - Formation enthalpy at 0 K: 1.938 eV per atom
# - Calculated total energy: -2.5818 eV/atom

No. 7
# SrZn2Co2 | Alexandria via LeMat-Bulk | GGA-PBE | optimized geometry
data_SrZn2Co2
_space_group_name_H-M_alt 'P 4/m b m'
_space_group_IT_number 127
_space_group_name_Hall '-P 4 2ab'
_cell_length_a 7.504
_cell_length_b 7.504
_cell_length_c 2.858
_cell_angle_alpha 90.00
_cell_angle_beta 90.00
_cell_angle_gamma 90.00
loop_
_atom_site_label
_atom_site_fract_x
_atom_site_fract_y
_atom_site_fract_z
_atom_site_occupancy
Sr1 0.000 0.000 0.000 1
Zn1 0.166 0.334 0.500 1
Co1 0.116 0.616 0.000 1
# - Total magnetization: 2.945 μB/cell
# - Crystal system: tetragonal
# - Formation enthalpy at 0 K: 0.210 eV per atom
# - Distance to the lowest polymorph of the same formula: 100 meV/atom
# - Calculated total energy: -3.4786 eV/atom

No. 8
# BeTl3Cl | Alexandria via LeMat-Bulk | GGA-PBE | optimized geometry
data_BeTl3Cl
_space_group_name_H-M_alt 'P m -3 m'
_space_group_IT_number 221
_space_group_name_Hall '-P 4 2 3'
_cell_length_a 5.129
_cell_length_b 5.129
_cell_length_c 5.129
_cell_angle_alpha 90.00
_cell_angle_beta 90.00
_cell_angle_gamma 90.00
loop_
_atom_site_label
_atom_site_fract_x
_atom_site_fract_y
_atom_site_fract_z
_atom_site_occupancy
Be1 0.000 0.000 0.000 1
Tl1 0.000 0.000 0.500 1
Cl1 0.500 0.500 0.500 1
# - Total magnetization: 0.000 μB/cell
# - Crystal system: cubic
# - Formation energy without anion corrections: -0.05 eV/atom
# - Distance to the lowest polymorph of the same formula: 0 meV/atom
# - Calculated total energy: -2.5807 eV/atom